VASP calculation (PBE) on a relaxed TlCo2Ni crystal.

## Properties
- M_tot: 0.835 μB/atom
- Formation energy: 40 kJ/mol of atoms
- Distance to the lowest polymorph of the same formula: 58 meV per atom
- VASP energy: -5.17 eV/atom

Cell: 4.4486 4.4486 4.6479 Å, 76.67 76.67 39.47°
Last column: magnetic moment on the atom in μB.
Element x y z (fractional)
Co 0.9848 0.9848 0.0648  1.60
Co 0.2532 0.2532 0.2325  1.54
Tl 0.7503 0.7503 0.7411  -0.04
Ni 0.5117 0.5117 0.4616  0.35

VASP calculation (PBE) on a relaxed SmThPb2 crystal.

## Properties
- M_tot: 0.000 μB/atom
- Formation energy: -36 kJ/mol of atoms
- VASP energy: -5.26 eV/atom

Cell: 4.5794 5.0934 5.0934 Å, 90.00 90.00 90.00°
Element x y z (fractional)
Pb 0.0000 0.5000 0.0000
Pb 0.0000 0.0000 0.5000
Th 0.5000 0.5000 0.5000
Sm 0.5000 0.0000 0.0000